(1)
VASP calculation (PBE) on a relaxed Ho2Tm5ThSc crystal.

Properties
**Formation enthalpy at 0 K**: 0.18 eV per atom
**Electronic total energy**: -4.854 eV/atom
**Crystal system**: orthorhombic
**D(E_F)**: 1.491 states/eV per atom
**Calculated volume**: 559.7 Å³ per cell
**Space-group type**: Cmc2_1 (36)

abc: 11.112 11.112 9.344
angles: 90.00 90.00 150.98
Fractional coordinates of all 18 atoms:
1 Ho 0.115 0.885 0.500
2 Ho 0.134 0.866 0.890
3 Ho 0.866 0.134 0.390
4 Ho 0.885 0.115 0.000
5 Tm 0.012 0.988 0.195
6 Tm 0.268 0.732 0.509
7 Tm 0.304 0.696 0.901
8 Tm 0.394 0.606 0.225
9 Tm 0.471 0.529 0.928
10 Tm 0.529 0.471 0.428
11 Tm 0.606 0.394 0.725
12 Tm 0.696 0.304 0.401
13 Tm 0.732 0.268 0.009
14 Tm 0.988 0.012 0.695
15 Th 0.401 0.599 0.609
16 Th 0.599 0.401 0.109
17 Sc 0.192 0.808 0.196
18 Sc 0.808 0.192 0.696



(2)
VASP calculation (PBE) on a relaxed Sr3LiRh crystal.

Properties
**Formation enthalpy at 0 K**: 0.27 eV per atom
**Electronic total energy**: -2.595 eV/atom
**Crystal system**: orthorhombic
**Excess energy over the best structure of this formula in the dataset**: 2.07 eV/f.u.
**D(E_F)**: 0.731 states/eV per atom
**Calculated volume**: 633.9 Å³ per cell
**Space-group type**: Amm2 (38)

abc: 4.056 8.399 18.609
angles: 90.00 90.00 90.00
Fractional coordinates of all 10 atoms:
1 Sr 0.000 0.000 0.000
2 Sr 0.000 0.500 0.500
3 Sr 0.500 0.235 0.820
4 Sr 0.500 0.265 0.320
5 Sr 0.500 0.735 0.320
6 Sr 0.500 0.765 0.820
7 Li 0.500 0.000 0.166
8 Li 0.500 0.500 0.666
9 Rh 0.000 0.000 0.855
10 Rh 0.000 0.500 0.355



(3)
VASP calculation (PBE) on a relaxed Li3In3Hg8 crystal.

Properties
**Formation enthalpy at 0 K**: -0.06 eV per atom
**Electronic total energy**: -1.227 eV/atom
**Crystal system**: triclinic
**D(E_F)**: 0.346 states/eV per atom
**Calculated volume**: 360.3 Å³ per cell
**Space-group type**: P-1 (2)

abc: 6.635 7.927 7.939
angles: 61.32 81.03 81.08
Fractional coordinates of all 14 atoms:
1 Li 0.000 0.000 0.000
2 Li 0.498 0.685 0.314
3 Li 0.502 0.315 0.686
4 In 0.000 0.500 0.500
5 In 0.474 0.888 0.887
6 In 0.526 0.112 0.113
7 Hg 0.133 0.915 0.360
8 Hg 0.135 0.360 0.913
9 Hg 0.316 0.512 0.146
10 Hg 0.319 0.149 0.511
11 Hg 0.681 0.851 0.489
12 Hg 0.684 0.488 0.854
13 Hg 0.865 0.640 0.087
14 Hg 0.867 0.085 0.640



(4)
VASP calculation (PBE) on a relaxed Ba6O5F crystal.

Properties
**Electronic total energy**: -5.702 eV/atom
**Crystal system**: monoclinic
**Formation energy without anion corrections**: -2518 meV/atom
**D(E_F)**: 0.168 states/eV per atom
**Calculated volume**: 264.9 Å³ per cell
**Space-group type**: C2/m (12)

abc: 6.876 6.876 6.868
angles: 99.62 99.62 120.06
Fractional coordinates of all 12 atoms:
1 Ba 0.070 0.415 0.747
2 Ba 0.241 0.241 0.260
3 Ba 0.415 0.070 0.747
4 Ba 0.585 0.930 0.253
5 Ba 0.759 0.759 0.740
6 Ba 0.930 0.585 0.253
7 O 0.000 0.000 0.500
8 O 0.166 0.834 0.000
9 O 0.331 0.669 0.500
10 O 0.669 0.331 0.500
11 O 0.834 0.166 0.000
12 F 0.500 0.500 0.000



(5)
VASP calculation (PBE) on a relaxed TaHIr3 crystal.

Properties
**Electronic total energy**: -6.199 eV/atom
**Crystal system**: cubic
**Excess energy over the best structure of this formula in the dataset**: 12.74 eV/f.u.
**D(E_F)**: 1.418 states/eV per atom
**Calculated volume**: 111.2 Å³ per cell
**Space-group type**: Pm-3m (221)

abc: 4.809 4.809 4.809
angles: 90.00 90.00 90.00
Fractional coordinates of all 5 atoms:
1 Ta 0.000 0.000 0.000
2 H 0.500 0.500 0.500
3 Ir 0.000 0.000 0.500
4 Ir 0.000 0.500 0.000
5 Ir 0.500 0.000 0.000



(6)
VASP calculation (PBE) on a relaxed Li5SnPb4 crystal.

Properties
**Formation enthalpy at 0 K**: -0.27 eV per atom
**Electronic total energy**: -3.113 eV/atom
**Crystal system**: tetragonal
**D(E_F)**: 0.443 states/eV per atom
**Calculated volume**: 221.4 Å³ per cell
**Space-group type**: P4/mmm (123)

abc: 3.552 3.552 17.548
angles: 90.00 90.00 90.00
Fractional coordinates of all 10 atoms:
1 Li 0.000 0.000 0.000
2 Li 0.000 0.000 0.204
3 Li 0.000 0.000 0.407
4 Li 0.000 0.000 0.593
5 Li 0.000 0.000 0.796
6 Sn 0.500 0.500 0.500
7 Pb 0.500 0.500 0.101
8 Pb 0.500 0.500 0.305
9 Pb 0.500 0.500 0.695
10 Pb 0.500 0.500 0.899



(7)
VASP calculation (PBE) on a relaxed Er3NpB4O12 crystal.

Properties
**Electronic total energy**: -8.607 eV/atom
**Crystal system**: trigonal
**Formation energy without anion corrections**: -2965 meV/atom
**D(E_F)**: 0.430 states/eV per atom
**Calculated volume**: 251.6 Å³ per cell
**Space-group type**: R32 (155)

abc: 6.504 6.504 6.504
angles: 102.61 102.61 102.61
Fractional coordinates of all 20 atoms:
1 Er 0.000 0.538 0.462
2 Er 0.462 0.000 0.538
3 Er 0.538 0.462 0.000
4 Np 0.000 0.000 0.000
5 B 0.038 0.500 0.962
6 B 0.500 0.500 0.500
7 B 0.500 0.962 0.038
8 B 0.962 0.038 0.500
9 O 0.028 0.633 0.821
10 O 0.098 0.902 0.500
11 O 0.179 0.367 0.972
12 O 0.364 0.636 0.500
13 O 0.367 0.972 0.179
14 O 0.500 0.098 0.902
15 O 0.500 0.364 0.636
16 O 0.633 0.821 0.028
17 O 0.636 0.500 0.364
18 O 0.821 0.028 0.633
19 O 0.902 0.500 0.098
20 O 0.972 0.179 0.367



(8)
VASP calculation (PBE) on a relaxed Ag3HgMo crystal.

Properties
**Formation enthalpy at 0 K**: 1.36 eV per atom
**Electronic total energy**: -2.577 eV/atom
**Crystal system**: cubic
**Excess energy over the best structure of this formula in the dataset**: 0.00 eV/f.u.
**D(E_F)**: 0.425 states/eV per atom
**Calculated volume**: 137.7 Å³ per cell
**Space-group type**: Pm-3m (221)

abc: 5.164 5.164 5.164
angles: 90.00 90.00 90.00
Fractional coordinates of all 5 atoms:
1 Ag 0.000 0.000 0.500
2 Ag 0.000 0.500 0.000
3 Ag 0.500 0.000 0.000
4 Hg 0.000 0.000 0.000
5 Mo 0.500 0.500 0.500



(9)
VASP calculation (PBE) on a relaxed La2PbW crystal.

Properties
**Formation enthalpy at 0 K**: 0.54 eV per atom
**Electronic total energy**: -6.089 eV/atom
**Crystal system**: tetragonal
**D(E_F)**: 1.026 states/eV per atom
**Calculated volume**: 461.9 Å³ per cell
**Space-group type**: I-42d (122)

abc: 8.676 8.676 6.136
angles: 90.00 90.00 90.00
Fractional coordinates of all 16 atoms:
1 La 0.189 0.250 0.125
2 La 0.250 0.689 0.375
3 La 0.250 0.811 0.875
4 La 0.311 0.250 0.625
5 La 0.689 0.750 0.625
6 La 0.750 0.189 0.875
7 La 0.750 0.311 0.375
8 La 0.811 0.750 0.125
9 Pb 0.000 0.000 0.500
10 Pb 0.000 0.500 0.750
11 Pb 0.500 0.000 0.250
12 Pb 0.500 0.500 0.000
13 W 0.000 0.000 0.000
14 W 0.000 0.500 0.250
15 W 0.500 0.000 0.750
16 W 0.500 0.500 0.500



(10)
VASP calculation (PBE) on a relaxed Na2ReOsF crystal.

Properties
**Electronic total energy**: -5.349 eV/atom
**Crystal system**: tetragonal
**Formation energy without anion corrections**: 289 meV/atom
**D(E_F)**: 0.716 states/eV per atom
**Calculated volume**: 85.9 Å³ per cell
**Space-group type**: P4/mmm (123)

abc: 3.784 3.784 5.996
angles: 90.00 90.00 90.00
Fractional coordinates of all 5 atoms:
1 Na 0.000 0.500 0.000
2 Na 0.500 0.000 0.000
3 Re 0.000 0.000 0.500
4 Os 0.500 0.500 0.500
5 F 0.500 0.500 0.000



(11)
VASP calculation (PBE) on a relaxed AlHgW2 crystal.

Properties
**Formation enthalpy at 0 K**: 0.82 eV per atom
**Electronic total energy**: -6.673 eV/atom
**Crystal system**: cubic
**Excess energy over the best structure of this formula in the dataset**: 1.91 eV/f.u.
**D(E_F)**: 0.942 states/eV per atom
**Calculated volume**: 267.1 Å³ per cell
**Space-group type**: Fm-3m (225)

abc: 6.440 6.440 6.440
angles: 90.00 90.00 90.00
Fractional coordinates of all 16 atoms:
1 Al 0.000 0.000 0.000
2 Al 0.000 0.500 0.500
3 Al 0.500 0.000 0.500
4 Al 0.500 0.500 0.000
5 Hg 0.000 0.000 0.500
6 Hg 0.000 0.500 0.000
7 Hg 0.500 0.000 0.000
8 Hg 0.500 0.500 0.500
9 W 0.250 0.250 0.250
10 W 0.250 0.250 0.750
11 W 0.250 0.750 0.250
12 W 0.250 0.750 0.750
13 W 0.750 0.250 0.250
14 W 0.750 0.250 0.750
15 W 0.750 0.750 0.250
16 W 0.750 0.750 0.750



(12)
VASP calculation (PBE) on a relaxed ErThPaSn crystal.

Properties
**Formation enthalpy at 0 K**: 0.04 eV per atom
**Electronic total energy**: -6.325 eV/atom
**Crystal system**: cubic
**D(E_F)**: 1.514 states/eV per atom
**Calculated volume**: 444.1 Å³ per cell
**Space-group type**: F-43m (216)

abc: 7.629 7.629 7.629
angles: 90.00 90.00 90.00
Fractional coordinates of all 16 atoms:
1 Er 0.000 0.000 0.000
2 Er 0.000 0.500 0.500
3 Er 0.500 0.000 0.500
4 Er 0.500 0.500 0.000
5 Th 0.000 0.000 0.500
6 Th 0.000 0.500 0.000
7 Th 0.500 0.000 0.000
8 Th 0.500 0.500 0.500
9 Pa 0.250 0.250 0.750
10 Pa 0.250 0.750 0.250
11 Pa 0.750 0.250 0.250
12 Pa 0.750 0.750 0.750
13 Sn 0.250 0.250 0.250
14 Sn 0.250 0.750 0.750
15 Sn 0.750 0.250 0.750
16 Sn 0.750 0.750 0.250



(13)
VASP calculation (PBE) on a relaxed Rb3PmTh2Se6 crystal.

Properties
**Electronic total energy**: -5.210 eV/atom
**Crystal system**: monoclinic
**Formation energy without anion corrections**: -1593 meV/atom
**D(E_F)**: 0.612 states/eV per atom
**Calculated volume**: 389.3 Å³ per cell
**Space-group type**: C2/m (12)

abc: 7.439 7.439 8.493
angles: 98.40 98.40 119.99
Fractional coordinates of all 12 atoms:
1 Rb 0.000 0.000 0.000
2 Rb 0.335 0.665 0.000
3 Rb 0.665 0.335 0.000
4 Pm 0.500 0.500 0.500
5 Th 0.167 0.833 0.500
6 Th 0.833 0.167 0.500
7 Se 0.094 0.432 0.295
8 Se 0.231 0.231 0.705
9 Se 0.432 0.094 0.295
10 Se 0.568 0.906 0.705
11 Se 0.769 0.769 0.295
12 Se 0.906 0.568 0.705



(14)
VASP calculation (PBE) on a relaxed LiB2C2 crystal.

Properties
**Formation enthalpy at 0 K**: -0.02 eV per atom
**Electronic total energy**: -6.760 eV/atom
**Crystal system**: monoclinic
**Excess energy over the best structure of this formula in the dataset**: 0.26 eV/f.u.
**D(E_F)**: 0.192 states/eV per atom
**Calculated volume**: 175.7 Å³ per cell
**Space-group type**: Pm (6)

abc: 4.640 2.729 13.870
angles: 90.00 90.77 90.00
Fractional coordinates of all 20 atoms:
1 Li 0.000 0.000 0.000
2 Li 0.025 0.000 0.260
3 Li 0.489 0.500 0.741
4 Li 0.522 0.500 0.260
5 B 0.131 0.500 0.860
6 B 0.196 0.500 0.392
7 B 0.337 0.000 0.595
8 B 0.353 0.000 0.130
9 B 0.633 0.000 0.878
10 B 0.696 0.000 0.390
11 B 0.838 0.500 0.614
12 B 0.849 0.500 0.134
13 C 0.176 0.500 0.597
14 C 0.188 0.500 0.132
15 C 0.294 0.000 0.860
16 C 0.359 0.000 0.387
17 C 0.676 0.000 0.617
18 C 0.689 0.000 0.137
19 C 0.795 0.500 0.879
20 C 0.858 0.500 0.386



(15)
VASP calculation (PBE) on a relaxed BaAlN3 crystal.

Properties
**Electronic total energy**: -3.767 eV/atom
**Crystal system**: cubic
**Formation energy without anion corrections**: 2361 meV/atom
**D(E_F)**: 0.677 states/eV per atom
**Calculated volume**: 105.2 Å³ per cell
**Space-group type**: Pm-3m (221)

abc: 4.720 4.720 4.720
angles: 90.00 90.00 90.00
Fractional coordinates of all 5 atoms:
1 Ba 0.000 0.000 0.000
2 Al 0.500 0.500 0.500
3 N 0.000 0.000 0.500
4 N 0.000 0.500 0.000
5 N 0.500 0.000 0.000



(16)
VASP calculation (PBE) on a relaxed YVGa2Bi crystal.

Properties
**Formation enthalpy at 0 K**: 0.28 eV per atom
**Electronic total energy**: -4.826 eV/atom
**Crystal system**: tetragonal
**D(E_F)**: 1.208 states/eV per atom
**Calculated volume**: 125.3 Å³ per cell
**Space-group type**: P4/mmm (123)

abc: 4.916 4.916 5.185
angles: 90.00 90.00 90.00
Fractional coordinates of all 5 atoms:
1 Y 0.000 0.000 0.000
2 V 0.000 0.000 0.500
3 Ga 0.000 0.500 0.500
4 Ga 0.500 0.000 0.500
5 Bi 0.500 0.500 0.000



(17)
VASP calculation (PBE) on a relaxed Er4GaAsSe2 crystal.

Properties
**Electronic total energy**: -5.516 eV/atom
**Crystal system**: monoclinic
**Formation energy without anion corrections**: -1404 meV/atom
**D(E_F)**: 0.293 states/eV per atom
**Calculated volume**: 192.9 Å³ per cell
**Space-group type**: P2/m (10)

abc: 7.122 4.010 7.136
angles: 90.00 108.77 90.00
Fractional coordinates of all 8 atoms:
1 Er 0.248 0.000 0.243
2 Er 0.251 0.500 0.763
3 Er 0.749 0.500 0.237
4 Er 0.752 0.000 0.757
5 Ga 0.000 0.500 0.000
6 As 0.500 0.000 0.000
7 Se 0.000 0.000 0.500
8 Se 0.500 0.500 0.500



(18)
VASP calculation (PBE) on a relaxed MgCoSn crystal.

Properties
**Formation enthalpy at 0 K**: -0.15 eV per atom
**Electronic total energy**: -4.382 eV/atom
**Crystal system**: orthorhombic
**D(E_F)**: 0.698 states/eV per atom
**Calculated volume**: 223.8 Å³ per cell
**Space-group type**: Pnma (62)

abc: 8.527 4.298 6.107
angles: 90.00 90.00 90.00
Fractional coordinates of all 12 atoms:
1 Mg 0.107 0.250 0.206
2 Mg 0.393 0.750 0.706
3 Mg 0.607 0.250 0.294
4 Mg 0.893 0.750 0.794
5 Co 0.110 0.750 0.476
6 Co 0.390 0.250 0.976
7 Co 0.610 0.750 0.024
8 Co 0.890 0.250 0.524
9 Sn 0.159 0.250 0.707
10 Sn 0.341 0.750 0.207
11 Sn 0.659 0.250 0.793
12 Sn 0.841 0.750 0.293